1.
Here is crystalline Li8DyAg6 at its relaxed geometry from the Alexandria database. Energies are from PBE. Values from VASP.

```
&SYSTEM
  ibrav = 0, nat = 15, ntyp = 3
/
ATOMIC_SPECIES
Li 6.94 Li.upf
Dy 162.50 Dy.upf
Ag 107.87 Ag.upf
ATOMIC_POSITIONS angstrom
Li -2.672 -0.035 6.139
Li 0.000 0.000 3.292
Li -1.306 -2.331 10.171
Li 1.366 -2.297 6.139
Li -1.366 2.297 10.171
Li 1.306 2.331 6.139
Li 0.000 0.000 13.017
Li 2.672 0.035 10.171
Dy 0.000 0.000 8.155
Ag -1.255 -2.517 7.425
Ag -2.808 -0.172 8.884
Ag -1.553 2.345 7.425
Ag 1.553 -2.345 8.884
Ag 2.808 0.172 7.425
Ag 1.255 2.517 8.884
CELL_PARAMETERS angstrom
4.017 2.319 5.436
-4.017 2.319 5.436
0.000 -4.638 5.436
```

Computed properties:
Theoretical density: 4.73 g/cm3
Space group: No. 148
Formation enthalpy at 0 K: -92 meV/atom

***

2.
Here is crystalline Th2PaAg at its relaxed geometry from the Alexandria database. Energies are from PBE. Values from VASP.

```
&SYSTEM
  ibrav = 0, nat = 4, ntyp = 3
/
ATOMIC_SPECIES
Th 232.04 Th.upf
Pa 231.04 Pa.upf
Ag 107.87 Ag.upf
ATOMIC_POSITIONS angstrom
Th 0.000 0.000 1.834
Th 0.000 0.000 5.551
Pa 1.921 1.921 3.693
Ag 1.921 1.921 0.000
CELL_PARAMETERS angstrom
3.841 0.000 0.000
0.000 3.841 0.000
0.000 0.000 7.385
```

Computed properties:
ΔE to the lowest computed polymorph: 9.5 kJ/mol of atoms
Theoretical density: 12.24 g/cm3
Space group: No. 123
Formation enthalpy at 0 K: 119 meV/atom

***

3.
Here is crystalline Li3GaRh2 at its relaxed geometry from the Alexandria database. Energies are from PBE. Values from VASP.

```
&SYSTEM
  ibrav = 0, nat = 12, ntyp = 3
/
ATOMIC_SPECIES
Li 6.94 Li.upf
Ga 69.72 Ga.upf
Rh 102.91 Rh.upf
ATOMIC_POSITIONS angstrom
Li 2.027 3.166 4.978
Li 1.574 0.641 0.001
Li 0.711 -0.641 3.320
Li 4.206 0.641 3.318
Li 3.343 -0.641 6.637
Li 2.890 -3.166 1.659
Ga 2.027 0.687 4.978
Ga 2.890 -0.687 1.659
Rh 1.829 1.626 2.485
Rh 3.951 1.626 0.834
Rh 0.966 -1.626 5.804
Rh 3.088 -1.626 4.153
CELL_PARAMETERS angstrom
3.321 -3.604 0.000
3.321 3.604 0.000
-1.726 0.000 6.638
```

Computed properties:
ΔE to the lowest computed polymorph: 4.8 kJ/mol of atoms
Theoretical density: 6.19 g/cm3
Space group: No. 15
Formation enthalpy at 0 K: -311 meV/atom

***

4.
Here is crystalline Sc6FeIr5 at its relaxed geometry from the Alexandria database. Energies are from PBE. Values from VASP.

```
&SYSTEM
  ibrav = 0, nat = 12, ntyp = 3
/
ATOMIC_SPECIES
Sc 44.96 Sc.upf
Fe 55.84 Fe.upf
Ir 192.22 Ir.upf
ATOMIC_POSITIONS angstrom
Sc 2.282 1.579 -2.242
Sc 0.000 1.565 0.000
Sc 2.282 1.579 2.242
Sc 0.000 1.612 4.587
Sc 0.000 4.816 0.000
Sc 0.000 1.612 9.072
Fe 2.282 0.000 0.000
Ir 0.000 0.000 2.279
Ir 2.282 0.000 4.551
Ir 0.000 0.000 6.830
Ir 0.000 3.190 2.278
Ir 0.000 0.000 11.380
CELL_PARAMETERS angstrom
-2.282 3.190 6.830
2.282 -3.190 6.830
2.282 3.190 -6.830
```

Computed properties:
Theoretical density: 10.74 g/cm3
Space group: No. 71
Formation enthalpy at 0 K: -880 meV/atom

***

5.
Here is crystalline Ti2CuAuC at its relaxed geometry from the Alexandria database. Energies are from PBE. Values from VASP.

```
&SYSTEM
  ibrav = 0, nat = 5, ntyp = 4
/
ATOMIC_SPECIES
Ti 47.87 Ti.upf
Cu 63.55 Cu.upf
Au 196.97 Au.upf
C 12.01 C.upf
ATOMIC_POSITIONS angstrom
Ti 0.000 2.104 0.000
Ti 2.104 0.000 0.000
Cu 0.000 0.000 1.952
Au 2.104 2.104 1.952
C 0.000 0.000 0.000
CELL_PARAMETERS angstrom
4.207 0.000 0.000
0.000 4.207 0.000
0.000 0.000 3.904
```

Computed properties:
Theoretical density: 8.85 g/cm3
Space group: No. 123
Formation enthalpy at 0 K: -325 meV/atom

***

6.
Here is crystalline Tc2PAu at its relaxed geometry from the Alexandria database. Energies are from PBE. Values from VASP.

```
&SYSTEM
  ibrav = 0, nat = 4, ntyp = 3
/
ATOMIC_SPECIES
Tc 98.00 Tc.upf
P 30.97 P.upf
Au 196.97 Au.upf
ATOMIC_POSITIONS angstrom
Tc 0.000 0.000 0.000
Tc 6.495 0.000 3.834
P 2.384 0.000 0.729
Au 4.073 0.000 2.462
CELL_PARAMETERS angstrom
4.522 -1.465 0.000
4.522 1.465 0.000
-0.046 0.000 4.828
```

Computed properties:
Theoretical density: 11.00 g/cm3
Space group: No. 8
Formation enthalpy at 0 K: 126 meV/atom

***

7.
Here is crystalline In2CuIr at its relaxed geometry from the Alexandria database. Energies are from PBE. Values from VASP.

```
&SYSTEM
  ibrav = 0, nat = 4, ntyp = 3
/
ATOMIC_SPECIES
In 114.82 In.upf
Cu 63.55 Cu.upf
Ir 192.22 Ir.upf
ATOMIC_POSITIONS angstrom
In 0.000 0.000 0.000
In 1.607 1.992 1.808
Cu 1.607 1.992 4.441
Ir 0.000 0.000 2.905
CELL_PARAMETERS angstrom
3.215 0.000 0.000
0.000 3.984 0.000
0.000 0.000 5.595
```

Computed properties:
Theoretical density: 11.25 g/cm3
Space group: No. 25
Formation enthalpy at 0 K: 94 meV/atom

***

8.
Here is crystalline Ba2Mg6Ga3 at its relaxed geometry from the Alexandria database. Energies are from PBE. Values from VASP.

```
&SYSTEM
  ibrav = 0, nat = 11, ntyp = 3
/
ATOMIC_SPECIES
Ba 137.33 Ba.upf
Mg 24.30 Mg.upf
Ga 69.72 Ga.upf
ATOMIC_POSITIONS angstrom
Ba 0.000 5.083 0.000
Ba 4.402 2.542 0.000
Mg -1.280 2.216 2.278
Mg -3.520 6.096 0.000
Mg 0.882 1.528 0.000
Mg 2.559 0.000 2.278
Mg 3.123 5.408 2.278
Mg 7.040 0.000 0.000
Ga -2.749 4.761 2.278
Ga 1.653 2.864 2.278
Ga 5.497 0.000 2.278
CELL_PARAMETERS angstrom
8.804 0.000 0.000
-4.402 7.625 0.000
0.000 0.000 4.556
```

Computed properties:
Theoretical density: 3.42 g/cm3
Space group: No. 189
Formation enthalpy at 0 K: -199 meV/atom

***

9.
Here is crystalline Ho4ThMg5 at its relaxed geometry from the Alexandria database. Energies are from PBE. Values from VASP.

```
&SYSTEM
  ibrav = 0, nat = 10, ntyp = 3
/
ATOMIC_SPECIES
Ho 164.93 Ho.upf
Th 232.04 Th.upf
Mg 24.30 Mg.upf
ATOMIC_POSITIONS angstrom
Ho 0.000 0.000 1.882
Ho 0.000 0.000 5.660
Ho 0.000 0.000 13.358
Ho 0.000 0.000 17.136
Th 0.000 0.000 9.509
Mg 1.889 1.889 0.000
Mg 1.889 1.889 3.767
Mg 1.889 1.889 7.495
Mg 1.889 1.889 11.523
Mg 1.889 1.889 15.251
CELL_PARAMETERS angstrom
3.778 0.000 0.000
0.000 3.778 0.000
0.000 0.000 19.018
```

Computed properties:
Theoretical density: 6.20 g/cm3
Space group: No. 123
Formation enthalpy at 0 K: -41 meV/atom

***

10.
Here is crystalline Mg3Ag2Au8 at its relaxed geometry from the Alexandria database. Energies are from PBE. Values from VASP.

```
&SYSTEM
  ibrav = 0, nat = 13, ntyp = 3
/
ATOMIC_SPECIES
Mg 24.30 Mg.upf
Ag 107.87 Ag.upf
Au 196.97 Au.upf
ATOMIC_POSITIONS angstrom
Mg 0.000 0.000 0.000
Mg 0.000 0.000 5.777
Mg 0.000 0.000 25.074
Ag 0.000 0.000 11.222
Ag 0.000 0.000 19.629
Au -1.354 -0.782 17.181
Au 0.000 -1.563 13.670
Au -1.354 0.782 13.670
Au 0.000 0.000 8.541
Au 0.000 0.000 22.310
Au 1.354 -0.782 17.181
Au 0.000 1.563 17.181
Au 1.354 0.782 13.670
CELL_PARAMETERS angstrom
2.704 1.561 10.284
-2.704 1.561 10.284
0.000 -3.123 10.284
```

Computed properties:
Theoretical density: 11.88 g/cm3
Space group: No. 166
Formation enthalpy at 0 K: -168 meV/atom

***

11.
Here is crystalline CsCd5Au2 at its relaxed geometry from the Alexandria database. Energies are from PBE. Values from VASP.

```
&SYSTEM
  ibrav = 0, nat = 8, ntyp = 3
/
ATOMIC_SPECIES
Cs 132.91 Cs.upf
Cd 112.41 Cd.upf
Au 196.97 Au.upf
ATOMIC_POSITIONS angstrom
Cs 0.000 0.000 0.000
Cd 2.325 2.619 -1.786
Cd 2.325 2.619 1.786
Cd 0.000 4.160 0.000
Cd 0.000 1.540 3.909
Cd 0.000 1.540 7.481
Au 2.325 0.000 2.901
Au 0.000 4.160 2.794
CELL_PARAMETERS angstrom
-2.325 4.160 5.695
2.325 -4.160 5.695
2.325 4.160 -5.695
```

Computed properties:
Theoretical density: 8.21 g/cm3
Space group: No. 71
Formation enthalpy at 0 K: -152 meV/atom

***

12.
Here is crystalline HgBiS2Cl at its relaxed geometry from the Alexandria database. Energies are from PBE. Values from VASP.

```
&SYSTEM
  ibrav = 0, nat = 10, ntyp = 4
/
ATOMIC_SPECIES
Hg 200.59 Hg.upf
Bi 208.98 Bi.upf
S 32.06 S.upf
Cl 35.45 Cl.upf
ATOMIC_POSITIONS angstrom
Hg -0.201 1.078 1.268
Hg 5.022 3.233 9.156
Bi 0.239 3.233 4.654
Bi 4.581 1.078 5.770
S -1.579 3.233 6.648
S 1.011 3.233 1.485
S 3.809 1.078 8.939
S 6.399 1.078 3.776
Cl 1.366 1.078 6.209
Cl 3.454 3.233 4.215
CELL_PARAMETERS angstrom
7.734 0.000 0.000
0.000 4.311 0.000
-2.914 0.000 10.424
```

Computed properties:
ΔE to the lowest computed polymorph: 0.0 kJ/mol of atoms
Theoretical density: 4.87 g/cm3
Space group: No. 11

***

Which formula does entry 6 have? Tc2PAu